# 1
## LiPr2BO5 (PBE)

Data for LiPr2BO5 after structural relaxation.

Properties
- Formation energy (no corrections): -23.9 eV/f.u.
- Raw total energy: -7.424 eV per atom
- SG: Cmc2_1 (36)

abc: 6.858 6.858 10.019
angles: 90.00 90.00 152.10
Fractional positions:
Li 0.186 0.814 0.500
Li 0.814 0.186 0.000
Pr 0.123 0.877 0.149
Pr 0.138 0.862 0.806
Pr 0.862 0.138 0.306
Pr 0.877 0.123 0.649
B 0.439 0.561 0.879
B 0.561 0.439 0.379
O 0.029 0.971 0.456
O 0.296 0.704 0.168
O 0.336 0.664 0.857
O 0.340 0.660 0.490
O 0.500 0.500 0.262
O 0.500 0.500 0.762
O 0.660 0.340 0.990
O 0.664 0.336 0.357
O 0.704 0.296 0.668
O 0.971 0.029 0.956

=====

# 2
## TaCu2Rh (PBE)

Data for TaCu2Rh after structural relaxation.

Properties
- Formation energy from the elements: -70 meV per atom
- Raw total energy: -6.919 eV per atom
- SG: C2/m (12)

abc: 9.155 2.941 4.387
angles: 90.00 103.18 90.00
Fractional positions:
Ta 0.000 0.000 0.000
Ta 0.500 0.500 0.000
Cu 0.247 0.000 0.747
Cu 0.253 0.500 0.253
Cu 0.747 0.500 0.747
Cu 0.753 0.000 0.253
Rh 0.000 0.500 0.500
Rh 0.500 0.000 0.500

=====

# 3
## RbLi3Zn (PBE)

Data for RbLi3Zn after structural relaxation.

Properties
- Formation energy from the elements: 131 meV per atom
- Raw total energy: -1.466 eV per atom
- SG: Pm-3m (221)

abc: 5.340 5.340 5.340
angles: 90.00 90.00 90.00
Fractional positions:
Rb 0.000 0.000 0.000
Li 0.000 0.500 0.500
Li 0.500 0.000 0.500
Li 0.500 0.500 0.000
Zn 0.500 0.500 0.500

=====

# 4
## CoW2Au (PBE)

Data for CoW2Au after structural relaxation.

Properties
- Formation energy from the elements: 275 meV per atom
- Raw total energy: -8.797 eV per atom
- SG: P4mm (99)

abc: 3.219 3.219 5.884
angles: 90.00 90.00 90.00
Fractional positions:
Co 0.000 0.000 0.000
W 0.000 0.000 0.451
W 0.500 0.500 0.197
Au 0.500 0.500 0.737

=====

# 5
## TlCu3C (PBE)

Data for TlCu3C after structural relaxation.

Properties
- Formation energy from the elements: 2281 meV per atom
- Raw total energy: -2.495 eV per atom
- SG: Pm-3m (221)

abc: 4.890 4.890 4.890
angles: 90.00 90.00 90.00
Fractional positions:
Tl 0.000 0.000 0.000
Cu 0.000 0.000 0.500
Cu 0.000 0.500 0.000
Cu 0.500 0.000 0.000
C 0.500 0.500 0.500

=====

# 6
## ScIrRh2 (PBE)

Data for ScIrRh2 after structural relaxation.

Properties
- Formation energy from the elements: -508 meV per atom
- Raw total energy: -7.981 eV per atom
- SG: I-4m2 (119)

abc: 3.958 3.958 7.850
angles: 90.00 90.00 90.00
Fractional positions:
Sc 0.000 0.000 0.000
Sc 0.500 0.500 0.500
Ir 0.000 0.500 0.250
Ir 0.500 0.000 0.750
Rh 0.000 0.000 0.500
Rh 0.000 0.500 0.750
Rh 0.500 0.000 0.250
Rh 0.500 0.500 0.000

=====

# 7
## SiIrN (PBE)

Data for SiIrN after structural relaxation.

Properties
- Formation energy (no corrections): -0.5 eV/f.u.
- Raw total energy: -7.716 eV per atom
- SG: Aem2 (39)

abc: 4.450 5.978 5.667
angles: 90.00 90.00 90.00
Fractional positions:
Si 0.175 0.250 0.000
Si 0.175 0.750 0.500
Si 0.825 0.250 0.500
Si 0.825 0.750 0.000
Ir 0.500 0.000 0.313
Ir 0.500 0.000 0.813
Ir 0.500 0.500 0.313
Ir 0.500 0.500 0.813
N 0.146 0.250 0.308
N 0.146 0.750 0.808
N 0.854 0.250 0.808
N 0.854 0.750 0.308

=====

# 8
## CrPtSe2 (PBE)

Data for CrPtSe2 after structural relaxation.

Properties
- Formation energy (no corrections): -0.4 eV/f.u.
- Raw total energy: -5.770 eV per atom
- SG: R-3m (166)

abc: 3.200 3.200 23.867
angles: 90.00 90.00 120.00
Fractional positions:
Cr 0.000 0.000 0.000
Cr 0.333 0.667 0.667
Cr 0.667 0.333 0.333
Pt 0.000 0.000 0.500
Pt 0.333 0.667 0.167
Pt 0.667 0.333 0.833
Se 0.000 0.000 0.399
Se 0.000 0.000 0.601
Se 0.333 0.667 0.066
Se 0.333 0.667 0.268
Se 0.667 0.333 0.732
Se 0.667 0.333 0.934

=====

# 9
## Sb2TeRuI (PBE)

Data for Sb2TeRuI after structural relaxation.

Properties
- Formation energy (no corrections): 1.8 eV/f.u.
- Raw total energy: -4.082 eV per atom
- SG: P4/mmm (123)

abc: 5.198 5.198 5.331
angles: 90.00 90.00 90.00
Fractional positions:
Sb 0.000 0.500 0.000
Sb 0.500 0.000 0.000
Te 0.000 0.000 0.500
Ru 0.000 0.000 0.000
I 0.500 0.500 0.500

=====

# 10
## ThBeSb (PBE)

Data for ThBeSb after structural relaxation.

Properties
- Formation energy (no corrections): -1.0 eV/f.u.
- Raw total energy: -5.428 eV per atom
- SG: C2/m (12)

abc: 12.603 3.904 5.559
angles: 90.00 102.59 90.00
Fractional positions:
Th 0.126 0.000 0.308
Th 0.374 0.500 0.692
Th 0.626 0.500 0.308
Th 0.874 0.000 0.692
Be 0.235 0.000 0.867
Be 0.265 0.500 0.133
Be 0.735 0.500 0.867
Be 0.765 0.000 0.133
Sb 0.103 0.500 0.784
Sb 0.397 0.000 0.216
Sb 0.603 0.000 0.784
Sb 0.897 0.500 0.216

=====

# 11
## PmSm6Sc6 (PBE)

Data for PmSm6Sc6 after structural relaxation.

Properties
- Formation energy from the elements: 220 meV per atom
- Raw total energy: -5.246 eV per atom
- SG: P6/mmm (191)

abc: 6.475 6.475 10.993
angles: 90.00 90.00 120.00
Fractional positions:
Pm 0.000 0.000 0.000
Sm 0.000 0.000 0.338
Sm 0.000 0.000 0.662
Sm 0.333 0.667 0.000
Sm 0.333 0.667 0.500
Sm 0.667 0.333 0.000
Sm 0.667 0.333 0.500
Sc 0.000 0.500 0.245
Sc 0.000 0.500 0.755
Sc 0.500 0.000 0.245
Sc 0.500 0.000 0.755
Sc 0.500 0.500 0.245
Sc 0.500 0.500 0.755

=====

# 12
## LaNCl2 (PBE)

Data for LaNCl2 after structural relaxation.

Properties
- Formation energy (no corrections): -2.4 eV/f.u.
- Raw total energy: -4.828 eV per atom
- SG: Fm-3m (225)

abc: 6.876 6.876 6.876
angles: 90.00 90.00 90.00
Fractional positions:
La 0.000 0.000 0.000
La 0.000 0.500 0.500
La 0.500 0.000 0.500
La 0.500 0.500 0.000
N 0.000 0.000 0.500
N 0.000 0.500 0.000
N 0.500 0.000 0.000
N 0.500 0.500 0.500
Cl 0.250 0.250 0.250
Cl 0.250 0.250 0.750
Cl 0.250 0.750 0.250
Cl 0.250 0.750 0.750
Cl 0.750 0.250 0.250
Cl 0.750 0.250 0.750
Cl 0.750 0.750 0.250
Cl 0.750 0.750 0.750

=====

# 13
## ZrInMo (PBE)

Data for ZrInMo after structural relaxation.

Properties
- Formation energy from the elements: 653 meV per atom
- Raw total energy: -6.720 eV per atom
- SG: F-43m (216)

abc: 6.565 6.565 6.565
angles: 90.00 90.00 90.00
Fractional positions:
Zr 0.000 0.000 0.000
Zr 0.000 0.500 0.500
Zr 0.500 0.000 0.500
Zr 0.500 0.500 0.000
In 0.000 0.000 0.500
In 0.000 0.500 0.000
In 0.500 0.000 0.000
In 0.500 0.500 0.500
Mo 0.250 0.250 0.250
Mo 0.250 0.750 0.750
Mo 0.750 0.250 0.750
Mo 0.750 0.750 0.250

=====

# 14
## Lu2C (PBE)

Data for Lu2C after structural relaxation.

Properties
- Formation energy from the elements: -375 meV per atom
- Raw total energy: -6.464 eV per atom
- SG: R-3m (166)

abc: 3.510 3.510 17.635
angles: 90.00 90.00 120.00
Fractional positions:
Lu 0.000 0.000 0.241
Lu 0.000 0.000 0.759
Lu 0.333 0.667 0.426
Lu 0.333 0.667 0.908
Lu 0.667 0.333 0.092
Lu 0.667 0.333 0.574
C 0.000 0.000 0.500
C 0.333 0.667 0.167
C 0.667 0.333 0.833

=====

# 15
## LiDy3Cu8 (PBE)

Data for LiDy3Cu8 after structural relaxation.

Properties
- Formation energy from the elements: -178 meV per atom
- Raw total energy: -4.219 eV per atom
- SG: R3m (160)

abc: 8.948 8.948 8.948
angles: 33.53 33.53 33.53
Fractional positions:
Li 0.000 0.000 0.000
Dy 0.363 0.363 0.363
Dy 0.491 0.491 0.491
Dy 0.879 0.879 0.879
Cu 0.184 0.184 0.184
Cu 0.432 0.932 0.932
Cu 0.437 0.437 0.926
Cu 0.437 0.926 0.437
Cu 0.682 0.682 0.682
Cu 0.926 0.437 0.437
Cu 0.932 0.432 0.932
Cu 0.932 0.932 0.432

=====

# 16
## InBH2C (PBE)

Data for InBH2C after structural relaxation.

Properties
- Raw total energy: -3.707 eV per atom
- SG: P4/mmm (123)

abc: 3.144 3.144 5.268
angles: 90.00 90.00 90.00
Fractional positions:
In 0.000 0.000 0.000
B 0.000 0.000 0.500
H 0.000 0.500 0.500
H 0.500 0.000 0.500
C 0.500 0.500 0.000

=====

# 17
## Np2BPd2Pt4 (PBE)

Data for Np2BPd2Pt4 after structural relaxation.

Properties
- Formation energy from the elements: -493 meV per atom
- Raw total energy: -7.950 eV per atom
- SG: I4/mmm (139)

abc: 6.000 6.000 6.000
angles: 119.17 119.17 91.44
Fractional positions:
Np 0.250 0.750 0.500
Np 0.750 0.250 0.500
B 0.000 0.000 0.000
Pd 0.266 0.266 0.000
Pd 0.734 0.734 0.000
Pt 0.251 0.251 0.503
Pt 0.251 0.749 0.000
Pt 0.749 0.251 0.000
Pt 0.749 0.749 0.497

=====

# 18
## PmPaInSb (PBE)

Data for PmPaInSb after structural relaxation.

Properties
- Formation energy (no corrections): -1.1 eV/f.u.
- Raw total energy: -5.554 eV per atom
- SG: F-43m (216)

abc: 7.608 7.608 7.608
angles: 90.00 90.00 90.00
Fractional positions:
Pm 0.000 0.000 0.000
Pm 0.000 0.500 0.500
Pm 0.500 0.000 0.500
Pm 0.500 0.500 0.000
Pa 0.000 0.000 0.500
Pa 0.000 0.500 0.000
Pa 0.500 0.000 0.000
Pa 0.500 0.500 0.500
In 0.250 0.250 0.750
In 0.250 0.750 0.250
In 0.750 0.250 0.250
In 0.750 0.750 0.750
Sb 0.250 0.250 0.250
Sb 0.250 0.750 0.750
Sb 0.750 0.250 0.750
Sb 0.750 0.750 0.250